(1)
Nb3Ga: relaxed, PBE. Values from VASP.

## Properties
The calculation puts the theoretical density at 8.11 g/cm3. The calculation puts the raw total energy at -8.32 eV/atom. For the energy of formation, the calculation gives -0.01 eV per atom. Its space-group type is No. 25.

Quantum ESPRESSO input file:
```
&SYSTEM
  ibrav = 0, nat = 4, ntyp = 2
/
ATOMIC_SPECIES
Ga 69.72 Ga.upf
Nb 92.91 Nb.upf
CELL_PARAMETERS angstrom
2.7780 0.0000 0.0000
0.0000 4.7965 0.0000
0.0000 0.0000 5.3563
ATOMIC_POSITIONS angstrom
Ga 0.0000 0.0000 0.0637
Nb 0.0000 2.3983 1.6455
Nb 1.3890 0.0000 2.8103
Nb 1.3890 2.3983 4.4076
```

(2)
Tl4SiP: relaxed, PBE. Values from VASP.

## Properties
The calculation puts the theoretical density at 8.41 g/cm3. The calculation puts the raw total energy at -2.63 eV/atom. Its space-group type is No. 216. Its formation energy without anion corrections is 0.76 eV/atom.

Quantum ESPRESSO input file:
```
&SYSTEM
  ibrav = 0, nat = 6, ntyp = 3
/
ATOMIC_SPECIES
Tl 204.38 Tl.upf
Si 28.09 Si.upf
P 30.97 P.upf
CELL_PARAMETERS angstrom
-5.0876 -2.1409 2.9445
-5.5587 0.1259 -2.8673
-2.6795 -5.3368 -1.8643
ATOMIC_POSITIONS angstrom
Tl -7.5401 -3.8272 0.8004
Tl -4.9988 -2.7578 -0.6704
Tl -7.7755 -2.6949 -2.1026
Tl -6.3373 -5.4235 -1.6016
Si 0.0000 0.0000 0.0000
P -9.9944 -5.5138 -1.3404
```